4
Lattice="3.802 0.000 0.000 1.901 3.293 0.000 1.901 1.098 6.753" Properties=species:S:1:pos:R:3 comment="SiAs2Pb | the Alexandria database | SCAN | single point on PBEsol structure" polymorph_energy_mev_per_atom=0.0 total_energy_ev_per_atom=-31.429 space_group="No. 166" total_magnetization_mub_per_cell=0.00 crystal_system=trigonal pbc="T T T"
As 1.901 1.098 1.335
As 5.704 3.293 5.418
Si 0.000 0.000 0.000
Pb 3.802 2.195 3.377

3
Lattice="4.733 0.000 0.000 2.367 4.099 0.000 2.367 1.366 3.865" Properties=species:S:1:pos:R:3 comment="SiAsPb | the Alexandria database | SCAN | single point on PBEsol structure" total_energy_ev_per_atom=-34.687 space_group="No. 216" total_magnetization_mub_per_cell=0.00 crystal_system=cubic pbc="T T T"
Si 4.733 2.733 1.932
Pb 0.000 0.000 0.000
As 7.100 4.099 2.899

4
Lattice="-1.963 -1.116 2.987 2.290 -2.370 -1.727 4.202 3.928 4.228" Properties=species:S:1:pos:R:3 comment="Si2AsPb | the Alexandria database | SCAN | single point on PBEsol structure" polymorph_energy_mev_per_atom=0.0 total_energy_ev_per_atom=-28.683 space_group="No. 8" total_magnetization_mub_per_cell=0.00 crystal_system=monoclinic pbc="T T T"
As 3.131 -1.068 1.658
Pb 3.854 1.500 3.092
Si 0.663 -1.063 2.385
Si 0.291 0.110 0.233

4
Lattice="-3.245 -2.788 -2.767 1.771 -3.591 -3.150 -0.705 -4.924 1.098" Properties=species:S:1:pos:R:3 comment="SiAsPb2 | the Alexandria database | SCAN | single point on PBEsol structure" polymorph_energy_mev_per_atom=294.3 total_energy_ev_per_atom=-44.868 space_group="No. 216" total_magnetization_mub_per_cell=0.00 crystal_system=cubic pbc="T T T"
As -1.089 -5.651 -2.409
Pb -1.633 -8.477 -3.614
Pb 0.000 0.000 0.000
Si -0.544 -2.826 -1.205

4
Lattice="-0.275 3.992 -0.565 -1.372 0.440 3.776 5.459 -1.667 0.015" Properties=species:S:1:pos:R:3 comment="Si2AsPb | the Alexandria database | SCAN | single point on PBEsol structure" polymorph_energy_mev_per_atom=464.9 total_energy_ev_per_atom=-28.218 space_group="No. 119" total_magnetization_mub_per_cell=0.00 crystal_system=tetragonal pbc="T T T"
As -0.823 2.216 1.605
Pb 1.632 0.494 2.698
Si 0.000 0.000 0.000
Si 2.180 2.270 0.528

4
Lattice="3.379 0.000 0.000 0.000 4.943 0.000 0.000 0.000 4.943" Properties=species:S:1:pos:R:3 comment="SiAs2Pb | the Alexandria database | SCAN | single point on PBEsol structure" polymorph_energy_mev_per_atom=504.7 total_energy_ev_per_atom=-30.925 space_group="No. 123" total_magnetization_mub_per_cell=0.00 crystal_system=tetragonal pbc="T T T"
Pb 1.690 2.471 2.471
Si 1.690 0.000 0.000
As 0.000 2.471 0.000
As 0.000 0.000 2.471

5
Lattice="-1.912 0.629 4.732 3.338 -3.685 1.838 3.616 3.755 0.962" Properties=species:S:1:pos:R:3 comment="SiTeAsPb2 | the Alexandria database | SCAN | single point on PBEsol structure" total_energy_ev_per_atom=-43.124 space_group="No. 123" total_magnetization_mub_per_cell=0.00 crystal_system=tetragonal pbc="T T T"
As 2.521 0.349 3.766
Pb 1.808 1.878 0.481
Pb 1.669 -1.843 0.919
Si 0.000 0.000 0.000
Te -0.956 0.314 2.366

5
Lattice="-0.846 -3.546 3.548 3.811 1.884 2.792 -3.484 3.337 2.504" Properties=species:S:1:pos:R:3 comment="Ta2SnAsPb | the Alexandria database | SCAN | single point on PBEsol structure" total_energy_ev_per_atom=-51.016 space_group="No. 123" e_form_ev_per_atom=1.996 total_magnetization_mub_per_cell=3.64 crystal_system=tetragonal pbc="T T T"
Ta -0.423 -1.773 1.774
Ta 1.906 0.942 1.396
Sn 0.000 0.000 0.000
Pb -1.742 1.668 1.252
As -0.260 0.838 4.422